# KGeSe | Alexandria | PBE | optimized geometry
data_KGeSe
_cell_length_a 4.3247
_cell_length_b 5.7079
_cell_length_c 8.3692
_cell_angle_alpha 76.96
_cell_angle_beta 82.54
_cell_angle_gamma 72.24
_space_group_name_H-M_alt 'P 1'
_space_group_IT_number 1
loop_
_space_group_symop_operation_xyz
'x,y,z'
loop_
_atom_site_label
_atom_site_type_symbol
_atom_site_fract_x
_atom_site_fract_y
_atom_site_fract_z
K1 K 0.0000 0.0000 0.0000
K2 K 0.1208 0.3785 0.3622
Ge1 Ge 0.0775 0.5599 0.7538
Ge2 Ge 0.5278 0.7549 0.5956
Se1 Se 0.4912 0.8340 0.2983
Se2 Se 0.5210 0.1608 0.6851
# ΔE_f (raw) = -0.59 eV per atom
# Offset from the most stable computed form = 32 meV per atom